No. 1
Entry from Alexandria: a relaxed LiVTeO5 crystal (PBE+U).

## Properties
Symmetry: Pnma, No. 62

Cell: 8.9380 6.4263 7.6697 Å, 90.00 90.00 90.00°
Positions (direct):
Li1 0.0000 0.0000 0.0000
Li2 0.0000 0.5000 0.0000
Li3 0.5000 0.0000 0.5000
Li4 0.5000 0.5000 0.5000
V1 0.1947 0.2500 0.2750
V2 0.3053 0.7500 0.7750
V3 0.6947 0.2500 0.2250
V4 0.8053 0.7500 0.7250
Te1 0.1433 0.7500 0.3924
Te2 0.3567 0.2500 0.8924
Te3 0.6433 0.7500 0.1076
Te4 0.8567 0.2500 0.6076
O1 0.1173 0.7500 0.7874
O2 0.1392 0.2500 0.4817
O3 0.1457 0.5350 0.2173
O4 0.1457 0.9650 0.2173
O5 0.1552 0.2500 0.9757
O6 0.3448 0.7500 0.4757
O7 0.3543 0.0350 0.7173
O8 0.3543 0.4650 0.7173
O9 0.3608 0.7500 0.9817
O10 0.3827 0.2500 0.2874
O11 0.6173 0.7500 0.7126
O12 0.6392 0.2500 0.0183
O13 0.6457 0.5350 0.2827
O14 0.6457 0.9650 0.2827
O15 0.6552 0.2500 0.5243
O16 0.8448 0.7500 0.0243
O17 0.8543 0.0350 0.7827
O18 0.8543 0.4650 0.7827
O19 0.8608 0.7500 0.5183
O20 0.8827 0.2500 0.2126

=====

No. 2
Entry from Alexandria: a relaxed LiV2TeO6 crystal (PBE+U).

## Properties
Symmetry: P1, No. 1

Cell: 5.4147 5.4184 5.5513 Å, 60.96 61.03 60.09°
Positions (direct):
Li1 0.0000 0.0000 0.0000
V1 0.2679 0.2631 0.1861
V2 0.7857 0.7826 0.6382
Te1 0.4786 0.4819 0.5588
O1 0.0836 0.4183 0.8600
O2 0.1203 0.9372 0.3729
O3 0.4176 0.6384 0.8518
O4 0.5343 0.1200 0.3613
O5 0.6338 0.0774 0.8467
O6 0.9305 0.5283 0.3910

=====

No. 3
Entry from Alexandria: a relaxed LiVTeO5 crystal (PBE+U).

## Properties
Symmetry: P2_12_12_1, No. 19

Cell: 5.1528 8.4624 9.7911 Å, 90.00 90.00 90.00°
Positions (direct):
Li1 0.0270 0.1208 0.0308
Li2 0.4730 0.8792 0.5308
Li3 0.5270 0.3792 0.9692
Li4 0.9730 0.6208 0.4692
V1 0.0459 0.4790 0.1505
V2 0.4541 0.5210 0.6505
V3 0.5459 0.0210 0.8495
V4 0.9541 0.9790 0.3495
Te1 0.0311 0.1775 0.6412
Te2 0.4689 0.8225 0.1412
Te3 0.5311 0.3225 0.3588
Te4 0.9689 0.6775 0.8588
O1 0.1714 0.0235 0.5234
O2 0.1784 0.5105 0.3105
O3 0.1894 0.6747 0.0782
O4 0.2136 0.3228 0.0922
O5 0.2205 0.0943 0.7984
O6 0.2795 0.9057 0.2984
O7 0.2864 0.6772 0.5922
O8 0.3106 0.3253 0.5782
O9 0.3216 0.4895 0.8105
O10 0.3286 0.9765 0.0234
O11 0.6714 0.4765 0.4766
O12 0.6784 0.9895 0.6895
O13 0.6894 0.8253 0.9218
O14 0.7136 0.1772 0.9078
O15 0.7205 0.4057 0.2016
O16 0.7795 0.5943 0.7016
O17 0.7864 0.8228 0.4078
O18 0.8106 0.1747 0.4218
O19 0.8216 0.0105 0.1895
O20 0.8286 0.5235 0.9766

=====

No. 4
Entry from Alexandria: a relaxed LiVTeO6 crystal (PBE+U).

## Properties
Symmetry: P-31c, No. 163

Cell: 5.1079 5.1079 9.6036 Å, 90.00 90.00 120.00°
Positions (direct):
Li1 0.0000 0.0000 0.0000
Li2 0.0000 0.0000 0.5000
V1 0.3333 0.6667 0.2500
V2 0.6667 0.3333 0.7500
Te1 0.3333 0.6667 0.7500
Te2 0.6667 0.3333 0.2500
O1 0.0064 0.3749 0.1392
O2 0.0064 0.6315 0.3608
O3 0.3685 0.3749 0.3608
O4 0.3685 0.9936 0.1392
O5 0.3749 0.0064 0.6392
O6 0.3749 0.3685 0.8608
O7 0.6251 0.6315 0.1392
O8 0.6251 0.9936 0.3608
O9 0.6315 0.0064 0.8608
O10 0.6315 0.6251 0.6392
O11 0.9936 0.3685 0.6392
O12 0.9936 0.6251 0.8608

=====

No. 5
Entry from Alexandria: a relaxed LiVTeO5 crystal (PBE+U).

## Properties
Symmetry: P2_12_12_1, No. 19

Cell: 5.1504 8.9322 11.6553 Å, 90.00 90.00 90.00°
Positions (direct):
Li1 0.1731 0.0496 0.4625
Li2 0.3269 0.9504 0.9625
Li3 0.6731 0.4504 0.5375
Li4 0.8269 0.5496 0.0375
V1 0.1612 0.4201 0.3758
V2 0.3388 0.5799 0.8758
V3 0.6612 0.0799 0.6242
V4 0.8388 0.9201 0.1242
Te1 0.1778 0.6696 0.6096
Te2 0.3222 0.3304 0.1096
Te3 0.6778 0.8304 0.3904
Te4 0.8222 0.1696 0.8904
O1 0.1564 0.9483 0.1145
O2 0.1726 0.1476 0.9194
O3 0.1846 0.4741 0.9971
O4 0.2259 0.2382 0.3873
O5 0.2269 0.5232 0.7313
O6 0.2731 0.4768 0.2313
O7 0.2741 0.7618 0.8873
O8 0.3154 0.5259 0.4971
O9 0.3274 0.8524 0.4194
O10 0.3436 0.0517 0.6145
O11 0.6564 0.5517 0.8855
O12 0.6726 0.3524 0.0806
O13 0.6846 0.0259 0.0029
O14 0.7259 0.2618 0.6127
O15 0.7269 0.9768 0.2687
O16 0.7731 0.0232 0.7687
O17 0.7741 0.7382 0.1127
O18 0.8154 0.9741 0.5029
O19 0.8274 0.6476 0.5806
O20 0.8436 0.4483 0.3855

=====

No. 6
Entry from Alexandria: a relaxed Li4VTeW2O12 crystal (PBE+U).

## Properties
Symmetry: P1, No. 1

Cell: 5.1599 5.5626 7.7809 Å, 96.24 90.44 90.16°
Positions (direct):
Li1 0.0000 0.0000 0.0000
Li2 0.0093 0.0035 0.5380
Li3 0.4904 0.5148 0.5335
Li4 0.5132 0.4858 0.9993
V1 0.9907 0.4281 0.7889
Te1 0.5035 0.9507 0.2943
W1 0.0071 0.4308 0.2900
W2 0.5096 0.9245 0.8069
O1 0.1369 0.4228 0.0716
O2 0.1550 0.7091 0.4004
O3 0.2102 0.1135 0.7626
O4 0.3057 0.6189 0.7681
O5 0.3081 0.2408 0.3885
O6 0.3716 0.9379 0.0582
O7 0.6442 0.8853 0.5870
O8 0.6819 0.5451 0.2477
O9 0.7158 0.2078 0.8812
O10 0.7912 0.7125 0.8877
O11 0.8524 0.0908 0.2553
O12 0.8792 0.3915 0.5751

=====

No. 7
Entry from Alexandria: a relaxed Li2TeWO6 crystal (PBE+U).

## Properties
Symmetry: P4mm, No. 99

Cell: 5.7289 5.7289 4.6149 Å, 90.00 90.00 90.00°
Positions (direct):
Li1 0.0000 0.5000 0.0000
Li2 0.5000 0.0000 0.0000
Te1 0.0000 0.0000 0.7727
W1 0.5000 0.5000 0.7493
O1 0.0000 0.0000 0.3754
O2 0.2685 0.2685 0.8558
O3 0.2685 0.7315 0.8558
O4 0.5000 0.5000 0.3668
O5 0.7315 0.2685 0.8558
O6 0.7315 0.7315 0.8558

=====

No. 8
Entry from Alexandria: a relaxed Li2TeWO6 crystal (PBE+U).

## Properties
Symmetry: P2_1/c, No. 14

Cell: 5.4555 13.1470 8.7279 Å, 90.00 125.48 90.00°
Positions (direct):
Li1 0.0517 0.0653 0.2434
Li2 0.0517 0.4347 0.7434
Li3 0.2696 0.1459 0.0265
Li4 0.2696 0.3541 0.5265
Li5 0.7304 0.6459 0.4735
Li6 0.7304 0.8541 0.9735
Li7 0.9483 0.5653 0.2566
Li8 0.9483 0.9347 0.7566
Te1 0.1760 0.7022 0.9250
Te2 0.1760 0.7978 0.4250
Te3 0.8240 0.2022 0.5750
Te4 0.8240 0.2978 0.0750
W1 0.4789 0.0985 0.7582
W2 0.4789 0.4015 0.2582
W3 0.5211 0.5985 0.7418
W4 0.5211 0.9015 0.2418
O1 0.1396 0.0597 0.7466
O2 0.1396 0.4403 0.2466
O3 0.1800 0.6953 0.7013
O4 0.1800 0.8047 0.2013
O5 0.2300 0.2488 0.6955
O6 0.2300 0.2512 0.1955
O7 0.3105 0.0192 0.1604
O8 0.3105 0.4808 0.6604
O9 0.3244 0.6562 0.4653
O10 0.3244 0.8438 0.9653
O11 0.3325 0.0983 0.5114
O12 0.3325 0.4017 0.0114
O13 0.6675 0.5983 0.9886
O14 0.6675 0.9017 0.4886
O15 0.6756 0.1562 0.0347
O16 0.6756 0.3438 0.5347
O17 0.6895 0.5192 0.3396
O18 0.6895 0.9808 0.8396
O19 0.7700 0.7488 0.8045
O20 0.7700 0.7512 0.3045
O21 0.8200 0.1953 0.7987
O22 0.8200 0.3047 0.2987
O23 0.8604 0.5597 0.7534
O24 0.8604 0.9403 0.2534

=====

How do the records compare in DFT total energy? In the order shown, they have -6.21; -6.67; -6.30; -6.14; -6.25; -6.51; -6.02; -6.19 eV per atom.